1.
A relaxed structure of NaAg2Sn2. Source: the Alexandria database, functional PBE-GGA.

a b c (Å): 4.7440 4.7440 6.6838
angles (deg): 69.21 69.21 90.00
Element x y z (fractional)
1 Ag 0.2500 0.7500 0.5000
2 Ag 0.7500 0.2500 0.5000
3 Sn 0.6226 0.6226 0.7549
4 Sn 0.3774 0.3774 0.2451
5 Na 0.0000 0.0000 0.0000

Output
Energy above the lowest structure with this stoichiometry in eV/atom: 0.016
E_tot in eV/atom: -3.0304
Calculated density in g/cm³: 6.08
Magnetization in μB/f.u.: 0.00
Crystal system: tetragonal
SG: I4/mmm, No. 139



2.
A relaxed structure of NaAg10Sn2. Source: the Alexandria database, functional PBE-GGA.

a b c (Å): 5.8039 7.5736 7.2672
angles (deg): 81.20 66.46 67.47
Element x y z (fractional)
1 Ag 0.0000 0.0000 0.5000
2 Ag 0.6494 0.3406 0.3605
3 Ag 0.4959 0.7900 0.2183
4 Ag 0.5000 0.0000 0.5000
5 Ag 0.0099 0.3406 0.6395
6 Ag 0.2858 0.2100 0.2183
7 Ag 0.7142 0.7900 0.7817
8 Ag 0.9901 0.6594 0.3605
9 Ag 0.5041 0.2100 0.7817
10 Ag 0.3506 0.6594 0.6395
11 Sn 0.5000 0.5000 0.0000
12 Sn 0.0000 0.5000 0.0000
13 Na 0.0000 0.0000 0.0000

Output
E_tot in eV/atom: -2.8521
Calculated density in g/cm³: 8.22
Magnetization in μB/f.u.: 0.00
Crystal system: orthorhombic
SG: Fmmm, No. 69



3.
A relaxed structure of Na2AgSn. Source: the Alexandria database, functional PBE-GGA.

a b c (Å): 5.0163 4.3658 4.3658
angles (deg): 90.00 90.00 90.00
Element x y z (fractional)
1 Ag 0.5000 0.5000 0.5000
2 Na 0.0000 0.0000 0.5000
3 Na 0.0000 0.5000 0.0000
4 Sn 0.5000 0.0000 0.0000

Output
E_tot in eV/atom: -2.4457
Calculated density in g/cm³: 4.73
Magnetization in μB/f.u.: 0.00
Crystal system: tetragonal
SG: P4/mmm, No. 123



4.
A relaxed structure of Na2Ag2Sn. Source: the Alexandria database, functional PBE-GGA.

a b c (Å): 4.6727 5.8659 5.9133
angles (deg): 119.74 113.27 90.00
Element x y z (fractional)
1 Na 0.8048 0.3048 0.6096
2 Na 0.1952 0.6952 0.3904
3 Ag 0.5000 0.7378 0.0000
4 Ag 0.5000 0.2622 0.0000
5 Sn 0.0000 0.0000 0.0000

Output
Energy above the lowest structure with this stoichiometry in eV/atom: 0.000
E_tot in eV/atom: -2.5612
Calculated density in g/cm³: 5.04
Magnetization in μB/f.u.: 0.00
Crystal system: orthorhombic
SG: Immm, No. 71



5.
A relaxed structure of Na3Ag3Sn8. Source: the Alexandria database, functional PBE-GGA.

a b c (Å): 4.7051 9.0829 9.0829
angles (deg): 82.23 74.99 74.99
Element x y z (fractional)
1 Sn 0.8722 0.7645 0.4911
2 Sn 0.6378 0.0629 0.6615
3 Sn 0.6378 0.6615 0.0629
4 Sn 0.3622 0.3385 0.9371
5 Sn 0.3622 0.9371 0.3385
6 Sn 0.1278 0.2355 0.5089
7 Sn 0.8722 0.4911 0.7645
8 Sn 0.1278 0.5089 0.2355
9 Ag 0.0000 0.1362 0.8638
10 Ag 0.0000 0.8638 0.1362
11 Ag 0.5000 0.0000 0.0000
12 Na 0.2112 0.7888 0.7888
13 Na 0.5000 0.5000 0.5000
14 Na 0.7888 0.2112 0.2112

Output
E_tot in eV/atom: -3.2737
Calculated density in g/cm³: 6.17
Magnetization in μB/f.u.: 0.00
Crystal system: orthorhombic
SG: Immm, No. 71



6.
A relaxed structure of NaAgSn2. Source: the Alexandria database, functional PBE-GGA.

a b c (Å): 4.6670 4.6670 8.4033
angles (deg): 73.88 73.88 60.00
Element x y z (fractional)
1 Sn 0.1289 0.1289 0.6133
2 Sn 0.8711 0.8711 0.3867
3 Ag 0.5000 0.5000 0.5000
4 Na 0.0000 0.0000 0.0000

Output
E_tot in eV/atom: -2.9806
Calculated density in g/cm³: 4.07
Magnetization in μB/f.u.: 0.00
Crystal system: trigonal
SG: R-3m, No. 166



7.
A relaxed structure of NaAgSn2. Source: the Alexandria database, functional PBE-GGA.

a b c (Å): 4.7749 4.7749 6.1581
angles (deg): 67.19 67.19 60.00
Element x y z (fractional)
1 Sn 0.2763 0.2763 0.1711
2 Sn 0.0549 0.0549 0.8352
3 Ag 0.6773 0.6773 0.9682
4 Na 0.4915 0.4915 0.5256

Output
E_tot in eV/atom: -3.1138
Calculated density in g/cm³: 5.62
Magnetization in μB/f.u.: 0.00
Crystal system: trigonal
SG: R3m, No. 160



8.
A relaxed structure of NaAg6Sn. Source: the Alexandria database, functional PBE-GGA.

a b c (Å): 4.8732 5.8645 5.8645
angles (deg): 112.89 90.00 90.00
Element x y z (fractional)
1 Na 0.0000 0.1076 0.8924
2 Ag 0.0000 0.0721 0.3816
3 Ag 0.5000 0.9120 0.0880
4 Ag 0.0000 0.6184 0.9279
5 Ag 0.5000 0.8846 0.5743
6 Ag 0.0000 0.5863 0.4137
7 Ag 0.5000 0.4257 0.1154
8 Sn 0.5000 0.3929 0.6071

Output
E_tot in eV/atom: -2.7965
Calculated density in g/cm³: 8.48
Magnetization in μB/f.u.: 0.00
Crystal system: orthorhombic
SG: Amm2, No. 38



9.
A relaxed structure of NaAg4Sn2. Source: the Alexandria database, functional PBE-GGA.

a b c (Å): 4.0884 4.0884 10.3251
angles (deg): 101.42 101.42 90.00
Element x y z (fractional)
1 Ag 0.7500 0.2500 0.5000
2 Ag 0.8524 0.8524 0.7049
3 Ag 0.2500 0.7500 0.5000
4 Ag 0.1476 0.1476 0.2951
5 Sn 0.3784 0.3784 0.7569
6 Sn 0.6216 0.6216 0.2431
7 Na 0.0000 0.0000 0.0000

Output
Energy above the lowest structure with this stoichiometry in eV/atom: 0.000
E_tot in eV/atom: -2.9448
Calculated density in g/cm³: 6.93
Magnetization in μB/f.u.: 0.00
Crystal system: tetragonal
SG: I4/mmm, No. 139



10.
A relaxed structure of Na5AgSn2. Source: the Alexandria database, functional PBE-GGA.

a b c (Å): 4.4400 6.9245 13.8443
angles (deg): 90.00 90.00 90.00
Element x y z (fractional)
1 Na 0.5000 0.2209 0.8764
2 Na 0.0000 0.9559 0.7443
3 Na 0.0000 0.4559 0.7557
4 Na 0.5000 0.7791 0.1236
5 Na 0.5000 0.7209 0.6236
6 Na 0.0000 0.5441 0.2443
7 Na 0.0000 0.0441 0.2557
8 Na 0.5000 0.2791 0.3764
9 Na 0.0000 0.5000 0.5000
10 Na 0.0000 0.0000 0.0000
11 Sn 0.5000 0.3110 0.1063
12 Sn 0.5000 0.8109 0.3937
13 Sn 0.5000 0.1890 0.6063
14 Sn 0.5000 0.6891 0.8937
15 Ag 0.0000 0.0000 0.5000
16 Ag 0.0000 0.5000 0.0000

Output
E_tot in eV/atom: -2.2673
Calculated density in g/cm³: 3.59
Magnetization in μB/f.u.: 0.00
Crystal system: orthorhombic
SG: Pbam, No. 55



11.
A relaxed structure of NaAg2Sn4. Source: the Alexandria database, functional PBE-GGA.

a b c (Å): 4.7887 7.6363 19.3226
angles (deg): 90.00 90.00 90.00
Element x y z (fractional)
1 Ag 0.7500 0.0696 0.2175
2 Ag 0.7500 0.2489 0.9575
3 Ag 0.2500 0.7511 0.0425
4 Ag 0.2500 0.7489 0.5425
5 Ag 0.7500 0.4304 0.7175
6 Ag 0.7500 0.2511 0.4575
7 Ag 0.2500 0.9304 0.7825
8 Ag 0.2500 0.5696 0.2825
9 Sn 0.2500 0.6403 0.6851
10 Sn 0.7500 0.9865 0.0663
11 Sn 0.7500 0.8696 0.4684
12 Sn 0.2500 0.8597 0.1851
13 Sn 0.7500 0.6304 0.9684
14 Sn 0.2500 0.1304 0.5316
15 Sn 0.2500 0.2701 0.1870
16 Sn 0.7500 0.7299 0.8130
17 Sn 0.2500 0.3696 0.0316
18 Sn 0.7500 0.3597 0.3149
19 Sn 0.2500 0.0135 0.9337
20 Sn 0.2500 0.4865 0.4337
21 Sn 0.7500 0.5135 0.5663
22 Sn 0.2500 0.2299 0.6870
23 Sn 0.7500 0.1403 0.8149
24 Sn 0.7500 0.7701 0.3130
25 Na 0.2500 0.0565 0.3554
26 Na 0.7500 0.9435 0.6446
27 Na 0.7500 0.5565 0.1446
28 Na 0.2500 0.4435 0.8554

Output
E_tot in eV/atom: -3.3606
Calculated density in g/cm³: 6.71
Magnetization in μB/f.u.: 0.00
Crystal system: orthorhombic
SG: Pnma, No. 62



Question: The highest E_tot belongs to which entry?
Answer: Na5AgSn2



Question: E_tot of number 10 (Na5AgSn2)?
Answer: -2.2673 eV/atom